Entry 1:
A relaxed structure of MoW, computed with PBE-GGA.

Properties
SG   P6_3/mmc
Fermi-level density of states   6.163 states/eV/cell
Energy of formation from the pure elements   0.684 eV per atom
Excess energy over the best structure of this formula in the dataset   703.7 meV/atom
Crystal system   hexagonal
Total energy   -89.7 eV for the cell shown
Total moment   0.00 μB/f.u.

Lattice parameters (Å, degrees): 4.5360 4.5360 7.7552 90.00 90.00 120.00
Positions (direct):
Mo  0.3333  0.6667  0.0697
Mo  0.3333  0.6667  0.4303
Mo  0.6667  0.3333  0.5697
Mo  0.6667  0.3333  0.9303
W  0.0000  0.0000  0.2500
W  0.0000  0.0000  0.7500
W  0.3333  0.6667  0.7500
W  0.6667  0.3333  0.2500


Entry 2:
A relaxed structure of Mo2W5, computed with PBE-GGA.

Properties
SG   C2/c
Fermi-level density of states   8.570 states/eV/cell
Energy of formation from the pure elements   0.260 eV per atom
Crystal system   monoclinic
Total energy   -169.2 eV for the cell shown
Total moment   0.00 μB/f.u.

Lattice parameters (Å, degrees): 7.5168 7.5168 6.0497 91.63 91.63 42.23
Positions (direct):
Mo  0.0548  0.8034  0.8926
Mo  0.1966  0.9452  0.6074
Mo  0.8034  0.0548  0.3926
Mo  0.9452  0.1966  0.1074
W  0.0890  0.3377  0.8223
W  0.2318  0.4817  0.5366
W  0.3377  0.0890  0.3223
W  0.3737  0.6263  0.2500
W  0.4817  0.2318  0.0366
W  0.5183  0.7682  0.9634
W  0.6263  0.3737  0.7500
W  0.6623  0.9110  0.6777
W  0.7682  0.5183  0.4634
W  0.9110  0.6623  0.1777


Entry 3:
A relaxed structure of Mo4W5, computed with PBE-GGA.

Properties
SG   C2/m
Fermi-level density of states   5.271 states/eV/cell
Energy of formation from the pure elements   -0.012 eV per atom
Excess energy over the best structure of this formula in the dataset   2.7 meV/atom
Crystal system   monoclinic
Total energy   -108.2 eV for the cell shown
Total moment   0.00 μB/f.u.

Lattice parameters (Å, degrees): 5.2680 5.2680 9.5288 107.62 107.62 35.10
Positions (direct):
Mo  0.0002  0.0002  0.1664
Mo  0.9998  0.9998  0.8336
Mo  0.3333  0.3333  0.2776
Mo  0.6667  0.6667  0.7224
W  0.0000  0.0000  0.5000
W  0.3334  0.3334  0.6115
W  0.3333  0.3333  0.9444
W  0.6667  0.6667  0.0556
W  0.6666  0.6666  0.3885


Entry 4:
A relaxed structure of Mo2W, computed with PBE-GGA.

Properties
SG   C2/m
Fermi-level density of states   4.524 states/eV/cell
Energy of formation from the pure elements   -0.008 eV per atom
Excess energy over the best structure of this formula in the dataset   11.6 meV/atom
Crystal system   monoclinic
Total energy   -69.3 eV for the cell shown
Total moment   0.00 μB/f.u.

Lattice parameters (Å, degrees): 5.2589 5.2589 6.3527 107.69 107.69 35.14
Positions (direct):
Mo  0.0004  0.0004  0.2498
Mo  0.9996  0.9996  0.7502
Mo  0.3331  0.3331  0.9168
Mo  0.6669  0.6669  0.0832
W  0.3337  0.3337  0.4164
W  0.6663  0.6663  0.5836